# 1
Material: SrZnH2Au
Method: DFT, meta-GGA SCAN
State: PBEsol geometry

CIF file:
```
data_SrZnH2Au
_cell_length_a 4.061
_cell_length_b 4.061
_cell_length_c 4.892
_cell_angle_alpha 90.00
_cell_angle_beta 90.00
_cell_angle_gamma 90.00
_symmetry_space_group_name_H-M 'P 4/m m m'
_symmetry_Int_Tables_number 123
_symmetry_space_group_name_Hall '-P 4 2'
loop_
_atom_site_label
_atom_site_fract_x
_atom_site_fract_y
_atom_site_fract_z
_atom_site_occupancy
Sr1 0.000 0.000 0.000 1
Zn1 0.500 0.500 0.000 1
H1 0.000 0.500 0.500 1
Au1 0.500 0.500 0.500 1
```

## Properties
- Volume: 16.134 Å³ per atom
- Final energy: -22.353 eV per atom

# 2
Material: Li3Cu
Method: DFT, meta-GGA SCAN
State: PBEsol geometry

CIF file:
```
data_Li3Cu
_cell_length_a 2.754
_cell_length_b 2.754
_cell_length_c 8.092
_cell_angle_alpha 90.00
_cell_angle_beta 90.00
_cell_angle_gamma 90.00
_symmetry_space_group_name_H-M 'P 4/m m m'
_symmetry_Int_Tables_number 123
_symmetry_space_group_name_Hall '-P 4 2'
loop_
_atom_site_label
_atom_site_fract_x
_atom_site_fract_y
_atom_site_fract_z
_atom_site_occupancy
Li1 0.000 0.000 0.000 1
Li2 0.500 0.500 0.292 1
Cu1 0.000 0.000 0.500 1
```

## Properties
- ΔE_f: 2 kJ per mole of atoms
- Volume: 15.343 Å³ per atom
- Final energy: -5.569 eV per atom

# 3
Material: BeFe2Os
Method: DFT, meta-GGA SCAN
State: PBEsol geometry

CIF file:
```
data_BeFe2Os
_cell_length_a 2.829
_cell_length_b 3.785
_cell_length_c 7.832
_cell_angle_alpha 90.00
_cell_angle_beta 90.00
_cell_angle_gamma 90.00
_symmetry_space_group_name_H-M 'I m m m'
_symmetry_Int_Tables_number 71
_symmetry_space_group_name_Hall '-I 2 2'
loop_
_atom_site_label
_atom_site_fract_x
_atom_site_fract_y
_atom_site_fract_z
_atom_site_occupancy
Be1 0.000 0.000 0.000 1
Fe1 0.000 0.500 0.263 1
Os1 0.000 0.000 0.500 1
```

## Properties
- ΔE_f: -3 kJ per mole of atoms
- Volume: 10.483 Å³ per atom
- Final energy: -28.159 eV per atom

# 4
Material: Ti2Sb2Os
Method: DFT, meta-GGA SCAN
State: PBEsol geometry

CIF file:
```
data_Ti2Sb2Os
_cell_length_a 3.849
_cell_length_b 3.849
_cell_length_c 13.464
_cell_angle_alpha 90.00
_cell_angle_beta 90.00
_cell_angle_gamma 90.00
_symmetry_space_group_name_H-M 'I 4/m m m'
_symmetry_Int_Tables_number 139
_symmetry_space_group_name_Hall '-I 4 2'
loop_
_atom_site_label
_atom_site_fract_x
_atom_site_fract_y
_atom_site_fract_z
_atom_site_occupancy
Ti1 0.000 0.000 0.091 1
Sb1 0.000 0.500 0.250 1
Os1 0.000 0.000 0.500 1
```

## Properties
- Volume: 19.947 Å³ per atom
- Final energy: -35.087 eV per atom
- Formation energy (no corrections): 0.6047 eV/atom

# 5
Material: ReAsRu
Method: DFT, meta-GGA SCAN
State: PBEsol geometry

CIF file:
```
data_ReAsRu
_cell_length_a 2.850
_cell_length_b 3.930
_cell_length_c 7.673
_cell_angle_alpha 90.00
_cell_angle_beta 90.00
_cell_angle_gamma 90.00
_symmetry_space_group_name_H-M 'I m m 2'
_symmetry_Int_Tables_number 44
_symmetry_space_group_name_Hall 'I 2 -2'
loop_
_atom_site_label
_atom_site_fract_x
_atom_site_fract_y
_atom_site_fract_z
_atom_site_occupancy
Re1 0.000 0.000 0.000 1
As1 0.000 0.000 0.325 1
Ru1 0.000 0.000 0.650 1
```

## Properties
- ΔE_f: 27 kJ per mole of atoms
- Volume: 14.322 Å³ per atom
- Final energy: -41.763 eV per atom

# 6
Material: MnHgAs3
Method: DFT, meta-GGA SCAN
State: PBEsol geometry

CIF file:
```
data_MnHgAs3
_cell_length_a 5.081
_cell_length_b 5.081
_cell_length_c 5.081
_cell_angle_alpha 90.00
_cell_angle_beta 90.00
_cell_angle_gamma 90.00
_symmetry_space_group_name_H-M 'P m -3 m'
_symmetry_Int_Tables_number 221
_symmetry_space_group_name_Hall '-P 4 2 3'
loop_
_atom_site_label
_atom_site_fract_x
_atom_site_fract_y
_atom_site_fract_z
_atom_site_occupancy
Mn1 0.000 0.000 0.000 1
Hg1 0.500 0.500 0.500 1
As1 0.000 0.500 0.500 1
```

## Properties
- ΔE_f: 106 kJ per mole of atoms
- Volume: 26.238 Å³ per atom
- Final energy: -28.299 eV per atom

# 7
Material: Mg2ZnW
Method: DFT, meta-GGA SCAN
State: PBEsol geometry

CIF file:
```
data_Mg2ZnW
_cell_length_a 2.756
_cell_length_b 2.756
_cell_length_c 8.823
_cell_angle_alpha 90.00
_cell_angle_beta 90.00
_cell_angle_gamma 90.00
_symmetry_space_group_name_H-M 'P 4/m m m'
_symmetry_Int_Tables_number 123
_symmetry_space_group_name_Hall '-P 4 2'
loop_
_atom_site_label
_atom_site_fract_x
_atom_site_fract_y
_atom_site_fract_z
_atom_site_occupancy
Mg1 0.000 0.000 0.249 1
Zn1 0.500 0.500 0.000 1
W1 0.500 0.500 0.500 1
```

## Properties
- ΔE_f: 20 kJ per mole of atoms
- Volume: 16.751 Å³ per atom
- Final energy: -23.079 eV per atom

# 8
Material: Li3Al
Method: DFT, meta-GGA SCAN
State: PBEsol geometry

CIF file:
```
data_Li3Al
_cell_length_a 4.065
_cell_length_b 4.065
_cell_length_c 4.065
_cell_angle_alpha 90.00
_cell_angle_beta 90.00
_cell_angle_gamma 90.00
_symmetry_space_group_name_H-M 'P m -3 m'
_symmetry_Int_Tables_number 221
_symmetry_space_group_name_Hall '-P 4 2 3'
loop_
_atom_site_label
_atom_site_fract_x
_atom_site_fract_y
_atom_site_fract_z
_atom_site_occupancy
Li1 0.000 0.000 0.500 1
Al1 0.500 0.500 0.500 1
```

## Properties
- ΔE_f: -2 kJ per mole of atoms
- Volume: 16.789 Å³ per atom
- Final energy: -3.756 eV per atom

What did the first record say?
Material: SrZnH2Au
Method: DFT, meta-GGA SCAN
State: PBEsol geometry

CIF file:
```
data_SrZnH2Au
_cell_length_a 4.061
_cell_length_b 4.061
_cell_length_c 4.892
_cell_angle_alpha 90.00
_cell_angle_beta 90.00
_cell_angle_gamma 90.00
_symmetry_space_group_name_H-M 'P 4/m m m'
_symmetry_Int_Tables_number 123
_symmetry_space_group_name_Hall '-P 4 2'
loop_
_atom_site_label
_atom_site_fract_x
_atom_site_fract_y
_atom_site_fract_z
_atom_site_occupancy
Sr1 0.000 0.000 0.000 1
Zn1 0.500 0.500 0.000 1
H1 0.000 0.500 0.500 1
Au1 0.500 0.500 0.500 1
```

## Properties
- Volume: 16.134 Å³ per atom
- Final energy: -22.353 eV per atom

- Number 6 is which compound?
  MnHgAs3